# 1
BeCuMoH2 | Alexandria via LeMat-Bulk | PBE | relaxed; SG = P4/mmm (123); VASP energy = -4.24 eV per atom; magnetization = 0.86 Bohr magnetons per cell; DOS(E_F) = 0.576 states/eV per atom
1.0
3.386 0.000 0.000
0.000 3.386 0.000
0.000 0.000 4.924
Be Cu Mo H
1 1 1 2
Direct
0.000 0.000 0.000
0.500 0.500 0.000
0.500 0.500 0.500
0.000 0.500 0.500
0.500 0.000 0.500

# 2
MgMnAs3 | Alexandria via LeMat-Bulk | PBE | relaxed; SG = Pm-3m (221); formation enthalpy at 0 K = 1.17 eV per formula unit; magnetization = 2.01 Bohr magnetons per cell; DOS(E_F) = 0.894 states/eV per atom
1.0
4.714 0.000 0.000
0.000 4.714 0.000
0.000 0.000 4.714
Mg Mn As
1 1 3
Direct
0.000 0.000 0.000
0.500 0.500 0.500
0.000 0.500 0.500
0.500 0.000 0.500
0.500 0.500 0.000

# 3
Sm6Co2HBr3 | Alexandria via LeMat-Bulk | PBE | relaxed; SG = C2/m (12); VASP energy = -4.99 eV per atom; magnetization = 0.00 Bohr magnetons per cell; DOS(E_F) = 0.648 states/eV per atom
1.0
3.402 -5.879 0.000
3.402 5.879 0.000
-2.277 0.000 7.657
Sm Co H Br
6 2 1 3
Direct
0.098 0.437 0.810
0.223 0.223 0.190
0.437 0.098 0.810
0.563 0.902 0.190
0.777 0.777 0.810
0.902 0.563 0.190
0.166 0.834 0.000
0.834 0.166 0.000
0.500 0.500 0.000
0.000 0.000 0.500
0.332 0.668 0.500
0.668 0.332 0.500

# 4
NdInNi | Alexandria via LeMat-Bulk | PBE | relaxed; SG = P-62m (189); formation enthalpy at 0 K = -1.37 eV per formula unit; magnetization = 0.00 Bohr magnetons per cell; DOS(E_F) = 0.806 states/eV per atom
1.0
7.628 0.000 0.000
-3.814 6.606 0.000
0.000 0.000 3.892
Nd In Ni
3 3 3
Direct
0.000 0.586 0.000
0.414 0.414 0.000
0.586 0.000 0.000
0.000 0.249 0.500
0.249 0.000 0.500
0.751 0.751 0.500
0.000 0.000 0.000
0.333 0.667 0.500
0.667 0.333 0.500